Record 1
Compound: Al2RuI2
Source: Alexandria via LeMat-Bulk
Functional: PBE
Structure: relaxed Values from VASP.

Output
For the energy above the most stable polymorph in this dataset, the calculation gives 0.0000 eV per atom.

```
&SYSTEM
  ibrav = 0, nat = 10, ntyp = 3
/
ATOMIC_SPECIES
Al 26.98 Al.upf
Ru 101.07 Ru.upf
I 126.90 I.upf
ATOMIC_POSITIONS crystal
Al 0.150 0.350 0.000
Al 0.350 0.850 0.000
Al 0.650 0.150 0.000
Al 0.850 0.650 0.000
Ru 0.000 0.000 0.000
Ru 0.500 0.500 0.000
I 0.190 0.690 0.500
I 0.310 0.190 0.500
I 0.690 0.810 0.500
I 0.810 0.310 0.500
CELL_PARAMETERS angstrom
6.932 0.000 0.000
0.000 6.932 0.000
0.000 0.000 4.828
```

=====

Record 2
Compound: AlRu3I
Source: Alexandria via LeMat-Bulk
Functional: PBE
Structure: relaxed Values from VASP.

Output
For the energy above the most stable polymorph in this dataset, the calculation gives 0.4328 eV per atom.

```
&SYSTEM
  ibrav = 0, nat = 5, ntyp = 3
/
ATOMIC_SPECIES
Al 26.98 Al.upf
Ru 101.07 Ru.upf
I 126.90 I.upf
ATOMIC_POSITIONS crystal
Al 0.000 0.000 0.000
Ru 0.000 0.500 0.500
Ru 0.500 0.000 0.500
Ru 0.500 0.500 0.000
I 0.500 0.500 0.500
CELL_PARAMETERS angstrom
4.758 0.000 0.000
0.000 4.758 0.000
0.000 0.000 4.758
```

=====

Record 3
Compound: AlRuI2
Source: Alexandria via LeMat-Bulk
Functional: PBE
Structure: relaxed Values from VASP.

Output
For the energy above the most stable polymorph in this dataset, the calculation gives 0.0000 eV per atom.

```
&SYSTEM
  ibrav = 0, nat = 8, ntyp = 3
/
ATOMIC_SPECIES
Al 26.98 Al.upf
Ru 101.07 Ru.upf
I 126.90 I.upf
ATOMIC_POSITIONS crystal
Al 0.000 0.000 0.000
Al 0.750 0.250 0.500
Ru 0.250 0.750 0.500
Ru 0.500 0.500 0.000
I 0.189 0.625 0.064
I 0.375 0.439 0.564
I 0.561 0.125 0.936
I 0.875 0.811 0.436
CELL_PARAMETERS angstrom
-3.439 3.439 5.827
3.439 -3.439 5.827
3.439 3.439 -5.827
```

=====

Record 4
Compound: Al2RuI2
Source: Alexandria via LeMat-Bulk
Functional: PBE
Structure: relaxed Values from VASP.

Output
For the energy above the most stable polymorph in this dataset, the calculation gives 0.1357 eV per atom.

```
&SYSTEM
  ibrav = 0, nat = 5, ntyp = 3
/
ATOMIC_SPECIES
Al 26.98 Al.upf
Ru 101.07 Ru.upf
I 126.90 I.upf
ATOMIC_POSITIONS crystal
Al 0.173 0.173 0.000
Al 0.827 0.827 0.000
Ru 0.500 0.500 0.000
I 0.250 0.750 0.500
I 0.750 0.250 0.500
CELL_PARAMETERS angstrom
-2.935 2.935 3.798
2.935 -2.935 3.798
2.935 2.935 -3.798
```

=====

Record 5
Compound: AlSb2RuI
Source: Alexandria via LeMat-Bulk
Functional: PBE
Structure: relaxed Values from VASP.

Output
For the energy above the most stable polymorph in this dataset, the calculation gives 0.0000 eV per atom.

```
&SYSTEM
  ibrav = 0, nat = 5, ntyp = 4
/
ATOMIC_SPECIES
Al 26.98 Al.upf
Sb 121.76 Sb.upf
Ru 101.07 Ru.upf
I 126.90 I.upf
ATOMIC_POSITIONS crystal
Al 0.000 0.000 0.000
Sb 0.000 0.500 0.500
Sb 0.500 0.000 0.500
Ru 0.500 0.500 0.500
I 0.500 0.500 0.000
CELL_PARAMETERS angstrom
5.054 0.000 0.000
0.000 5.054 0.000
0.000 0.000 5.892
```

=====

Record 6
Compound: AlSbRuI2
Source: Alexandria via LeMat-Bulk
Functional: PBE
Structure: relaxed Values from VASP.

Output
For the energy above the most stable polymorph in this dataset, the calculation gives 0.5999 eV per atom.

```
&SYSTEM
  ibrav = 0, nat = 5, ntyp = 4
/
ATOMIC_SPECIES
Al 26.98 Al.upf
Sb 121.76 Sb.upf
Ru 101.07 Ru.upf
I 126.90 I.upf
ATOMIC_POSITIONS crystal
Al 0.000 0.000 0.000
Sb 0.000 0.000 0.500
Ru 0.500 0.500 0.500
I 0.000 0.500 0.000
I 0.500 0.000 0.000
CELL_PARAMETERS angstrom
5.411 0.000 0.000
0.000 5.411 0.000
0.000 0.000 5.430
```

=====

- What is the formula in the third record?
  AlRuI2